## LaZnRh3 (GGA-PBE)

Data for a geometry-optimized LaZnRh3 structure.

Calculated values
Energy relative to the elements (eV per atom): -0.005
Space group: Pm-3m (221)
Total DFT energy (no corrections) (eV/atom): -5.6558
Crystal system: cubic
Calculated volume (Å³ per atom): 19.885
Offset from the most stable computed form (meV/atom): 0

Geometry as POSCAR:
```
LaZnRh3
1.0
4.633 0.000 0.000
0.000 4.633 0.000
0.000 0.000 4.633
Zn Rh La
1 3 1
Cartesian
0.000 0.000 0.000
2.316 0.000 0.000
0.000 2.316 0.000
0.000 0.000 2.316
2.316 2.316 2.316
```

## Ac2Dy8Er3 (GGA-PBE)

Data for a geometry-optimized Ac2Dy8Er3 structure.

Calculated values
Energy relative to the elements (eV per atom): 0.235
Space group: C2/m (12)
Total DFT energy (no corrections) (eV/atom): -4.2820
Crystal system: monoclinic
Calculated volume (Å³ per atom): 35.202

Geometry as POSCAR:
```
Ac2Dy8Er3
1.0
5.368 -0.354 0.883
-0.504 9.294 6.776
-1.623 2.915 11.019
Dy Ac Er
8 2 3
Cartesian
1.597 3.330 8.429
-1.876 10.771 15.699
-1.383 7.957 11.598
1.643 8.524 10.248
5.117 1.083 2.978
2.073 6.040 6.626
1.168 5.814 12.051
4.623 3.898 7.079
1.071 9.114 13.985
2.170 2.740 4.692
-1.297 4.776 9.781
-0.831 7.433 8.013
2.684 -0.177 0.441
```

- Which of these has the lowest total DFT energy (no corrections)?
  LaZnRh3